This record from the Alexandria database describes a relaxed structure of CrCdPb2. The functional is GGA-PBE.

Cell lengths 4.716, 4.716, 19.701 Å; angles 90.00, 90.00, 90.00 degrees
Atoms (fractional coordinates):
Cr  0.000  0.000  0.000
Cr  0.000  0.500  0.250
Cr  0.500  0.000  0.750
Cr  0.500  0.500  0.500
Cd  0.000  0.000  0.500
Cd  0.000  0.500  0.750
Cd  0.500  0.000  0.250
Cd  0.500  0.500  0.000
Pb  0.235  0.250  0.125
Pb  0.250  0.735  0.375
Pb  0.250  0.765  0.875
Pb  0.265  0.250  0.625
Pb  0.735  0.750  0.625
Pb  0.750  0.235  0.875
Pb  0.750  0.265  0.375
Pb  0.765  0.750  0.125

Results
Energy of formation (meV/atom): 490
Theoretical density (g/cm3): 8.8



This record from the Alexandria database describes a relaxed structure of CaCrNi. The functional is GGA-PBE.

Cell lengths 4.160, 10.760, 4.689 Å; angles 90.00, 90.00, 90.00 degrees
Atoms (fractional coordinates):
Ca  0.000  0.211  0.250
Ca  0.000  0.789  0.750
Ca  0.500  0.289  0.750
Ca  0.500  0.711  0.250
Cr  0.000  0.500  0.000
Cr  0.000  0.500  0.500
Cr  0.500  0.000  0.000
Cr  0.500  0.000  0.500
Ni  0.000  0.052  0.750
Ni  0.000  0.948  0.250
Ni  0.500  0.448  0.250
Ni  0.500  0.552  0.750

Results
Relative energy among the computed polymorphs (meV/atom): 5
Energy of formation (meV/atom): 222
Theoretical density (g/cm3): 4.8



DOS(E_F)
In order: 8.223, 14.677
Unit: states/eV/cell